# ZnIn2Se4

A relaxed ZnIn2Se4 crystal (PBEsol, Alexandria via LeMat-Bulk).

mass density	5.92	Mg/m³
formation energy (no corrections)	-3.70	eV per formula unit
VASP energy	-26.6	eV per formula unit

a b c (Å): 11.110 11.110 11.110
angles (deg): 90.00 90.00 90.00
Space group Fd-3m (No. 227, origin choice 2)
Asymmetric unit:
Zn  0.125  0.125  0.125 [8 per cell]
In  0.000  0.000  0.500 [16 per cell]
Se  0.004  0.004  0.746 [32 per cell]